Sc5Al2Bi after structural relaxation. Source: the Alexandria database, functional GGA-PBE.

Output
Symmetry: I4/mcm
E_form, eV per atom: -0.43

Lattice parameters (Å, degrees): 8.136 8.136 8.136 123.29 123.29 84.40
Element x y z (fractional)
Sc 0.000 0.000 0.000
Sc 0.007 0.507 0.807
Sc 0.200 0.007 0.500
Sc 0.300 0.800 0.807
Sc 0.493 0.300 0.500
Sc 0.500 0.500 0.000
Sc 0.507 0.700 0.500
Sc 0.700 0.200 0.193
Sc 0.800 0.993 0.500
Sc 0.993 0.493 0.193
Al 0.143 0.357 0.500
Al 0.357 0.857 0.215
Al 0.643 0.143 0.785
Al 0.857 0.643 0.500
Bi 0.250 0.250 0.000
Bi 0.750 0.750 0.000

SnAsN2F after structural relaxation. Source: the Alexandria database, functional GGA-PBE.

Output
Symmetry: P4/mmm
E above lowest polymorph, eV/atom: 0.000

Lattice parameters (Å, degrees): 3.912 3.912 4.251 90.00 90.00 90.00
Element x y z (fractional)
Sn 0.000 0.000 0.000
As 0.500 0.500 0.500
N 0.000 0.500 0.500
N 0.500 0.000 0.500
F 0.500 0.500 0.000

KNa2AgPd after structural relaxation. Source: the Alexandria database, functional GGA-PBE.

Output
Symmetry: P4/mmm
E_form, eV per atom: 0.04

Lattice parameters (Å, degrees): 5.425 5.425 5.371 90.00 90.00 90.00
Element x y z (fractional)
K 0.000 0.000 0.000
Na 0.000 0.500 0.500
Na 0.500 0.000 0.500
Ag 0.500 0.500 0.000
Pd 0.500 0.500 0.500

PmPrNd5Sm2 after structural relaxation. Source: the Alexandria database, functional GGA-PBE.

Output
Symmetry: I4/mcm
E_form, eV per atom: 0.26

Lattice parameters (Å, degrees): 10.226 10.226 10.226 128.75 128.75 75.41
Element x y z (fractional)
Pm 0.250 0.250 0.000
Pm 0.750 0.750 0.000
Pr 0.250 0.750 0.500
Pr 0.750 0.250 0.500
Nd 0.000 0.000 0.000
Nd 0.066 0.566 0.908
Nd 0.158 0.066 0.500
Nd 0.342 0.842 0.908
Nd 0.434 0.342 0.500
Nd 0.500 0.500 0.000
Nd 0.566 0.658 0.500
Nd 0.658 0.158 0.092
Nd 0.842 0.934 0.500
Nd 0.934 0.434 0.092
Sm 0.119 0.381 0.500
Sm 0.381 0.881 0.261
Sm 0.619 0.119 0.739
Sm 0.881 0.619 0.500

Mo2PbCl after structural relaxation. Source: the Alexandria database, functional GGA-PBE.

Output
Symmetry: C2/m
E above lowest polymorph, eV/atom: 0.358

Lattice parameters (Å, degrees): 10.455 3.224 7.627 90.00 126.61 90.00
Element x y z (fractional)
Mo 0.207 0.000 0.358
Mo 0.293 0.500 0.642
Mo 0.707 0.500 0.358
Mo 0.793 0.000 0.642
Pb 0.000 0.000 0.500
Pb 0.500 0.500 0.500
Cl 0.000 0.500 0.000
Cl 0.500 0.000 0.000

Ho8AgIr5 after structural relaxation. Source: the Alexandria database, functional GGA-PBE.

Output
Symmetry: I-4
E_form, eV per atom: -0.71

Lattice parameters (Å, degrees): 7.464 7.464 7.464 109.26 109.26 109.90
Element x y z (fractional)
Ho 0.119 0.365 0.626
Ho 0.121 0.365 0.106
Ho 0.259 0.016 0.894
Ho 0.507 0.881 0.246
Ho 0.635 0.261 0.754
Ho 0.635 0.741 0.756
Ho 0.739 0.493 0.374
Ho 0.984 0.879 0.244
Ag 0.250 0.750 0.500
Ir 0.012 0.634 0.885
Ir 0.366 0.252 0.378
Ir 0.500 0.500 0.000
Ir 0.748 0.126 0.115
Ir 0.874 0.988 0.622

Nb2FeC after structural relaxation. Source: the Alexandria database, functional GGA-PBE.

Output
Symmetry: I-42d
E_form, eV per atom: 0.38

Lattice parameters (Å, degrees): 6.243 6.243 5.783 90.00 90.00 90.00
Element x y z (fractional)
Nb 0.206 0.750 0.125
Nb 0.250 0.206 0.875
Nb 0.250 0.294 0.375
Nb 0.294 0.750 0.625
Nb 0.706 0.250 0.625
Nb 0.750 0.706 0.375
Nb 0.750 0.794 0.875
Nb 0.794 0.250 0.125
Fe 0.000 0.000 0.500
Fe 0.000 0.500 0.750
Fe 0.500 0.000 0.250
Fe 0.500 0.500 0.000
C 0.000 0.000 0.000
C 0.000 0.500 0.250
C 0.500 0.000 0.750
C 0.500 0.500 0.500

CaTcHg2Ru after structural relaxation. Source: the Alexandria database, functional GGA-PBE.

Output
Symmetry: P4/mmm
E above lowest polymorph, eV/atom: 0.431
E_form, eV per atom: 1.80

Lattice parameters (Å, degrees): 5.364 5.364 4.682 90.00 90.00 90.00
Element x y z (fractional)
Ca 0.000 0.000 0.000
Tc 0.500 0.500 0.500
Hg 0.000 0.500 0.000
Hg 0.500 0.000 0.000
Ru 0.000 0.000 0.500

La2PuTe4 after structural relaxation. Source: the Alexandria database, functional GGA-PBE.

Output
Symmetry: I-42d
E above lowest polymorph, eV/atom: 0.000

Lattice parameters (Å, degrees): 8.317 8.317 8.317 109.44 109.44 109.53
Element x y z (fractional)
La 0.000 0.625 0.875
La 0.375 0.250 0.375
La 0.750 0.125 0.125
La 0.875 0.000 0.625
Pu 0.250 0.750 0.500
Pu 0.500 0.500 0.000
Te 0.128 0.379 0.101
Te 0.129 0.378 0.601
Te 0.279 0.027 0.899
Te 0.471 0.871 0.249
Te 0.621 0.721 0.749
Te 0.622 0.223 0.751
Te 0.777 0.529 0.399
Te 0.973 0.872 0.251

SrLi2Hg2Sb2 after structural relaxation. Source: the Alexandria database, functional GGA-PBE.

Output
Symmetry: R-3m
Total energy, eV/atom: -2.5676

Lattice parameters (Å, degrees): 9.480 9.480 9.480 29.09 29.09 29.09
Element x y z (fractional)
Sr 0.000 0.000 0.000
Li 0.144 0.144 0.144
Li 0.856 0.856 0.856
Hg 0.448 0.448 0.448
Hg 0.552 0.552 0.552
Sb 0.259 0.259 0.259
Sb 0.741 0.741 0.741

MnNi6As after structural relaxation. Source: the Alexandria database, functional GGA-PBE.

Output
Symmetry: R-3m
E above lowest polymorph, eV/atom: 0.457
E_form, eV per atom: 0.32

Lattice parameters (Å, degrees): 4.828 4.828 4.828 80.68 80.68 80.68
Element x y z (fractional)
Mn 0.000 0.000 0.000
Ni 0.032 0.655 0.655
Ni 0.345 0.345 0.968
Ni 0.345 0.968 0.345
Ni 0.655 0.032 0.655
Ni 0.655 0.655 0.032
Ni 0.968 0.345 0.345
As 0.500 0.500 0.500

K2LiAsBr6 after structural relaxation. Source: the Alexandria database, functional GGA-PBE.

Output
Symmetry: R3
Total energy, eV/atom: -3.0451

Lattice parameters (Å, degrees): 8.233 8.233 8.233 56.07 56.07 56.07
Element x y z (fractional)
K 0.000 0.000 0.000
K 0.495 0.495 0.495
Li 0.782 0.782 0.782
As 0.209 0.209 0.209
Br 0.055 0.866 0.436
Br 0.343 0.510 0.971
Br 0.436 0.055 0.866
Br 0.510 0.971 0.343
Br 0.866 0.436 0.055
Br 0.971 0.343 0.510

TaCu2Pb after structural relaxation. Source: the Alexandria database, functional GGA-PBE.

Output
Symmetry: Pmmm
E_form, eV per atom: 0.34

Lattice parameters (Å, degrees): 3.121 3.710 6.050 90.00 90.00 90.00
Element x y z (fractional)
Ta 0.000 0.000 0.000
Cu 0.500 0.500 0.212
Cu 0.500 0.500 0.788
Pb 0.000 0.000 0.500

BaZrCr2 after structural relaxation. Source: the Alexandria database, functional GGA-PBE.

Output
Symmetry: P4/mmm
E above lowest polymorph, eV/atom: 0.096
E_form, eV per atom: 0.66

Lattice parameters (Å, degrees): 3.717 3.717 6.980 90.00 90.00 90.00
Element x y z (fractional)
Ba 0.000 0.000 0.000
Zr 0.000 0.000 0.500
Cr 0.500 0.500 0.360
Cr 0.500 0.500 0.640

CaPd5Pb2 after structural relaxation. Source: the Alexandria database, functional GGA-PBE.

Output
Symmetry: C2/m
E above lowest polymorph, eV/atom: 0.044
E_form, eV per atom: -0.35

Lattice parameters (Å, degrees): 6.509 7.854 6.820 90.00 118.11 90.00
Element x y z (fractional)
Ca 0.000 0.000 0.000
Ca 0.500 0.500 0.000
Pd 0.000 0.500 0.000
Pd 0.127 0.251 0.754
Pd 0.127 0.749 0.754
Pd 0.373 0.249 0.246
Pd 0.373 0.751 0.246
Pd 0.500 0.000 0.000
Pd 0.627 0.249 0.754
Pd 0.627 0.751 0.754
Pd 0.873 0.251 0.246
Pd 0.873 0.749 0.246
Pb 0.233 0.500 0.464
Pb 0.267 0.000 0.536
Pb 0.733 0.000 0.464
Pb 0.767 0.500 0.536

Tb2Dy2Al4Cu after structural relaxation. Source: the Alexandria database, functional GGA-PBE.

Output
Symmetry: I4/mmm
E_form, eV per atom: -0.20

Lattice parameters (Å, degrees): 6.570 6.570 6.570 116.34 116.34 96.47
Element x y z (fractional)
Tb 0.196 0.196 0.000
Tb 0.804 0.804 0.000
Dy 0.250 0.750 0.500
Dy 0.750 0.250 0.500
Al 0.260 0.260 0.521
Al 0.260 0.740 0.000
Al 0.740 0.260 0.000
Al 0.740 0.740 0.479
Cu 0.500 0.500 0.000

BF after structural relaxation. Source: the Alexandria database, functional GGA-PBE.

Output
Symmetry: I-43m
E above lowest polymorph, eV/atom: 1.859

Lattice parameters (Å, degrees): 7.621 7.621 7.621 90.00 90.00 90.00
Element x y z (fractional)
B 0.130 0.130 0.130
B 0.130 0.870 0.870
B 0.370 0.370 0.630
B 0.370 0.630 0.370
B 0.630 0.370 0.370
B 0.630 0.630 0.630
B 0.870 0.130 0.870
B 0.870 0.870 0.130
F 0.111 0.111 0.889
F 0.111 0.889 0.111
F 0.389 0.389 0.389
F 0.389 0.611 0.611
F 0.611 0.389 0.611
F 0.611 0.611 0.389
F 0.889 0.111 0.111
F 0.889 0.889 0.889

LiLuMnRu after structural relaxation. Source: the Alexandria database, functional GGA-PBE.

Output
Symmetry: F-43m
E_form, eV per atom: -0.03

Lattice parameters (Å, degrees): 6.445 6.445 6.445 90.00 90.00 90.00
Element x y z (fractional)
Li 0.000 0.000 0.000
Li 0.000 0.500 0.500
Li 0.500 0.000 0.500
Li 0.500 0.500 0.000
Lu 0.250 0.250 0.250
Lu 0.250 0.750 0.750
Lu 0.750 0.250 0.750
Lu 0.750 0.750 0.250
Mn 0.250 0.250 0.750
Mn 0.250 0.750 0.250
Mn 0.750 0.250 0.250
Mn 0.750 0.750 0.750
Ru 0.000 0.000 0.500
Ru 0.000 0.500 0.000
Ru 0.500 0.000 0.000
Ru 0.500 0.500 0.500

Er2MgI after structural relaxation. Source: the Alexandria database, functional GGA-PBE.

Output
Symmetry: R-3m
Total energy, eV/atom: -3.0414

Lattice parameters (Å, degrees): 3.572 3.572 34.583 90.00 90.00 120.00
Element x y z (fractional)
Er 0.000 0.000 0.094
Er 0.000 0.000 0.906
Er 0.333 0.667 0.572
Er 0.333 0.667 0.761
Er 0.667 0.333 0.239
Er 0.667 0.333 0.428
Mg 0.000 0.000 0.000
Mg 0.333 0.667 0.667
Mg 0.667 0.333 0.333
I 0.000 0.000 0.500
I 0.333 0.667 0.167
I 0.667 0.333 0.833

Ho3HfCo8 after structural relaxation. Source: the Alexandria database, functional GGA-PBE.

Output
Symmetry: R3m
E_form, eV per atom: -0.24

Lattice parameters (Å, degrees): 8.659 8.659 8.659 33.56 33.56 33.56
Element x y z (fractional)
Ho 0.000 0.000 0.000
Ho 0.125 0.125 0.125
Ho 0.625 0.625 0.625
Hf 0.501 0.501 0.501
Co 0.062 0.062 0.557
Co 0.062 0.557 0.062
Co 0.070 0.563 0.563
Co 0.313 0.313 0.313
Co 0.557 0.062 0.062
Co 0.563 0.070 0.563
Co 0.563 0.563 0.070
Co 0.813 0.813 0.813